Pm4ZnIn3 | Alexandria | PBE | optimized geometry; energy of formation = -0.39 eV per atom; E = -3.9516 eV per atom; D(E_F) = 7.42 states/eV per cell; crystal system = orthorhombic; space-group type = Pmm2; total magnetization = 0.1 Bohr magnetons per cell
1.0
3.874 0.000 0.000
0.000 4.810 0.000
0.000 0.000 12.244
Pm Zn In
4 1 3
Direct
0.000 0.000 0.000 Pm
0.000 0.500 0.298 Pm
0.500 0.000 0.483 Pm
0.500 0.500 0.804 Pm
0.500 0.000 0.221 Zn
0.000 0.000 0.723 In
0.000 0.500 0.570 In
0.500 0.500 0.077 In